LiMnF3: optimized geometry, GGA+U.

a b c (Å): 5.4337 10.8284 5.4593
angles (deg): 90.00 90.00 90.00
Space group Cmcm (No. 63)
Symmetry-distinct sites (fractional):
Li 0.0000 0.0651 0.2500 x4
Mn 0.0000 0.4127 0.2500 x4
F 0.0000 0.2325 0.2500 x4
F 0.2501 0.0000 0.0000 x8

Properties
- M_tot: 1.00 μB per atom
- Excess energy over the best structure of this formula in the dataset: 63 meV/atom
- Energy: -114.19 eV/cell